1.
The following is a DFT calculation (PBE) of crystalline AlSiI2 at its relaxed geometry.

Cell: 5.4934 5.4934 18.4434 Å, 90.00 90.00 90.00°
Last column: nearest neighbours and their distance in Å.
Space group I-42d (No. 122)
Symmetry-distinct sites (fractional):
1 Al 0.0000 0.0000 0.0000 (multiplicity 4)  4 I 3.05
2 Si 0.0000 0.0000 0.5000 (multiplicity 4)  4 I 2.98
3 I 0.2360 0.2500 0.6250 (multiplicity 8)  2 Si 2.98, 2 Al 3.05

## Properties
polymorph energy (0 for the lowest one) = 0.033 eV per atom

2.
The following is a DFT calculation (PBE) of crystalline BeHg2SbAu at its relaxed geometry.

Cell: 4.8493 4.8493 4.6366 Å, 90.00 90.00 90.00°
Last column: nearest neighbours and their distance in Å.
Space group P4/mmm (No. 123)
Symmetry-distinct sites (fractional):
1 Be 0.0000 0.0000 0.0000 (multiplicity 1)  2 Au 2.32, 4 Hg 2.42
2 Hg 0.0000 0.5000 0.0000 (multiplicity 2)  2 Be 2.42
3 Sb 0.5000 0.5000 0.5000 (multiplicity 1)  8 Hg 3.35, 4 Au 3.43
4 Au 0.0000 0.0000 0.5000 (multiplicity 1)  2 Be 2.32

## Properties
VASP energy = -0.14775 Ry/atom

3.
The following is a DFT calculation (PBE) of crystalline Al2NiOs at its relaxed geometry.

Cell: 2.7839 2.7839 24.7806 Å, 90.00 90.00 120.00°
Last column: nearest neighbours and their distance in Å.
Space group R3m (No. 160, hexagonal axes)
Symmetry-distinct sites (fractional):
1 Al 0.0000 0.0000 0.0000 (multiplicity 3)  3 Ni 2.47
2 Al 0.0000 0.0000 0.2422 (multiplicity 3)  3 Os 2.62, 9 Al 2.77-2.78
3 Ni 0.0000 0.0000 0.7425 (multiplicity 3)  3 Al 2.47, 3 Os 2.61
4 Os 0.0000 0.0000 0.4921 (multiplicity 3)  3 Ni 2.61, 3 Al 2.62, 6 Os 2.78

## Properties
formation energy = -0.4 eV/f.u.

4.
The following is a DFT calculation (PBE) of crystalline TbY5Th2 at its relaxed geometry.

Cell: 3.5338 11.2440 13.2470 Å, 90.00 90.00 90.00°
Last column: nearest neighbours and their distance in Å.
Space group Immm (No. 71)
Symmetry-distinct sites (fractional):
1 Tb 0.0000 0.0000 0.0000 (multiplicity 2)  2 Tb 3.53, 4 Th 3.64, 8 Y 3.88
2 Y 0.0000 0.2342 0.3693 (multiplicity 8)  3 Th 3.32-3.60, 7 Y 3.46-3.64
3 Y 0.0000 0.5000 0.0000 (multiplicity 2)  2 Th 3.44, 10 Y 3.53-3.61
4 Th 0.0000 0.5000 0.2599 (multiplicity 4)  7 Y 3.32-3.60, 2 Th 3.53, 2 Tb 3.64

## Properties
formation energy = 0.8 eV/f.u.
polymorph energy (0 for the lowest one) = 0.000 eV per atom

5.
The following is a DFT calculation (PBE) of crystalline PrInSi at its relaxed geometry.

Cell: 11.1267 4.3157 6.7764 Å, 90.00 90.00 90.00°
Last column: nearest neighbours and their distance in Å.
Space group Pnma (No. 62)
Symmetry-distinct sites (fractional):
1 Pr 0.0858 0.2500 0.2310 (multiplicity 4)  4 Si 3.01-3.11, 1 In 3.33
2 In 0.1455 0.2500 0.7123 (multiplicity 4)  3 Si 2.71-2.72
3 Si 0.1694 0.7500 0.9529 (multiplicity 4)  3 In 2.71-2.72, 2 Pr 3.01

## Properties
VASP energy = -0.34971 Ry/atom

6.
The following is a DFT calculation (PBE) of crystalline LaTc2P at its relaxed geometry.

Cell: 3.0523 3.0523 7.5354 Å, 90.00 90.00 90.00°
Last column: nearest neighbours and their distance in Å.
Space group P4/mmm (No. 123)
Symmetry-distinct sites (fractional):
1 La 0.0000 0.0000 0.0000 (multiplicity 1)  4 La 3.05, 8 Tc 3.29
2 Tc 0.5000 0.5000 0.3289 (multiplicity 2)  4 P 2.51, 1 Tc 2.58
3 P 0.0000 0.0000 0.5000 (multiplicity 1)  8 Tc 2.51

## Properties
formation energy = 0.1 eV/f.u.

7.
The following is a DFT calculation (PBE) of crystalline Ho2ZrSc4 at its relaxed geometry.

Cell: 5.8297 3.3655 18.6360 Å, 90.00 95.97 90.00°
Last column: nearest neighbours and their distance in Å.
Space group Cm (No. 8)
Symmetry-distinct sites (fractional):
1 Ho 0.0000 0.0000 0.0000 (multiplicity 2)  6 Sc 3.35-3.36, 6 Ho 3.37
2 Ho 0.0976 0.0000 0.2941 (multiplicity 2)  6 Sc 3.34-3.41, 6 Ho 3.37
3 Zr 0.1915 0.0000 0.5790 (multiplicity 2)  6 Sc 3.15-3.17, 6 Zr 3.37
4 Sc 0.2834 0.0000 0.8528 (multiplicity 2)  9 Sc 3.22-3.37, 3 Ho 3.35
5 Sc 0.3139 0.5000 0.4454 (multiplicity 2)  3 Zr 3.15, 6 Sc 3.37, 3 Ho 3.41
6 Sc 0.3827 0.0000 0.1477 (multiplicity 2)  6 Ho 3.34-3.36, 6 Sc 3.37
7 Sc 0.4032 0.5000 0.7141 (multiplicity 2)  3 Zr 3.17, 9 Sc 3.22-3.37

## Properties
formation energy = 0.2 eV/f.u.
polymorph energy (0 for the lowest one) = 0.000 eV per atom

8.
The following is a DFT calculation (PBE) of crystalline Sc5Rh4Pb at its relaxed geometry.

Cell: 3.1781 3.1781 18.2237 Å, 90.00 90.00 90.00°
Last column: nearest neighbours and their distance in Å.
Space group P4/mmm (No. 123)
Symmetry-distinct sites (fractional):
1 Sc 0.0000 0.0000 0.0000 (multiplicity 1)  8 Rh 2.80
2 Sc 0.0000 0.0000 0.1831 (multiplicity 2)  8 Rh 2.80-2.82
3 Sc 0.0000 0.0000 0.3667 (multiplicity 2)  4 Rh 2.78
4 Rh 0.5000 0.5000 0.0913 (multiplicity 2)  8 Sc 2.80
5 Rh 0.5000 0.5000 0.2767 (multiplicity 2)  8 Sc 2.78-2.82
6 Pb 0.5000 0.5000 0.5000 (multiplicity 1)  4 Pb 3.18, 8 Sc 3.31

## Properties
formation energy = -8.8 eV/f.u.

9.
The following is a DFT calculation (PBE) of crystalline Hf2Al3Cr at its relaxed geometry.

Cell: 5.2469 5.2469 12.8133 Å, 90.00 90.00 120.00°
Last column: nearest neighbours and their distance in Å.
Space group R-3m (No. 166, hexagonal axes)
Symmetry-distinct sites (fractional):
1 Hf 0.0000 0.0000 0.1288 (multiplicity 6)  9 Al 3.03-3.10, 3 Cr 3.07, 4 Hf 3.18-3.30
2 Al 0.0000 0.5000 0.0000 (multiplicity 9)  2 Cr 2.62, 4 Al 2.62
3 Cr 0.0000 0.0000 0.5000 (multiplicity 3)  6 Al 2.62

## Properties
formation energy = -2.0 eV/f.u.

10.
The following is a DFT calculation (PBE) of crystalline ZnGaO2 at its relaxed geometry.

Cell: 2.9751 2.9751 18.3422 Å, 90.00 90.00 120.00°
Last column: nearest neighbours and their distance in Å.
Space group R-3m (No. 166, hexagonal axes)
Symmetry-distinct sites (fractional):
1 Zn 0.0000 0.0000 0.0000 (multiplicity 3)  2 O 2.03
2 Ga 0.0000 0.0000 0.5000 (multiplicity 3)  6 O 2.00
3 O 0.0000 0.0000 0.1105 (multiplicity 6)  3 Ga 2.00, 1 Zn 2.03

## Properties
polymorph energy (0 for the lowest one) = 0.045 eV per atom

11.
The following is a DFT calculation (PBE) of crystalline ErGa4TcNi2 at its relaxed geometry.

Cell: 4.1160 4.1160 26.0809 Å, 90.00 90.00 120.00°
Last column: nearest neighbours and their distance in Å.
Space group R-3m (No. 166, hexagonal axes)
Symmetry-distinct sites (fractional):
1 Er 0.0000 0.0000 0.0000 (multiplicity 3)  6 Ga 2.95
2 Ga 0.0000 0.0000 0.1292 (multiplicity 6)  4 Ni 2.52-2.80, 3 Tc 2.57
3 Ga 0.0000 0.0000 0.4006 (multiplicity 6)  3 Ni 2.50, 1 Tc 2.59
4 Tc 0.0000 0.0000 0.5000 (multiplicity 3)  8 Ga 2.57-2.59
5 Ni 0.0000 0.0000 0.2367 (multiplicity 6)  6 Ga 2.50-2.52

## Properties
formation energy = -3.0 eV/f.u.

12.
The following is a DFT calculation (PBE) of crystalline Nb2CoIrW at its relaxed geometry.

Cell: 4.8066 4.8066 4.7272 Å, 90.00 90.00 90.00°
Last column: nearest neighbours and their distance in Å.
Space group P4/mmm (No. 123)
Symmetry-distinct sites (fractional):
1 Nb 0.0000 0.5000 0.0000 (multiplicity 2)  2 Ir 2.40
2 Co 0.0000 0.0000 0.5000 (multiplicity 1)  8 Nb 3.37, 4 W 3.40
3 Ir 0.5000 0.5000 0.0000 (multiplicity 1)  2 W 2.36, 4 Nb 2.40
4 W 0.5000 0.5000 0.5000 (multiplicity 1)  2 Ir 2.36

## Properties
formation energy = 8.2 eV/f.u.

| no. | total magnetic moment (μB per cell) |
| --- | --- |
| 1 | 0.00 |
| 2 | 0.00 |
| 3 | 0.00 |
| 4 | 0.00 |
| 5 | 0.00 |
| 6 | 0.00 |
| 7 | 0.65 |
| 8 | 0.00 |
| 9 | 4.46 |
| 10 | 0.00 |
| 11 | 0.00 |
| 12 | 0.00 |